1.
LiPr2Ag: optimized geometry, PBE-GGA.

Geometry as CIF:
```
data_LiPr2Ag
_chemical_formula_sum 'Li1 Pr2 Ag1'
_cell_length_a 4.695
_cell_length_b 4.689
_cell_length_c 6.367
_cell_angle_alpha 68.48
_cell_angle_beta 68.37
_cell_angle_gamma 59.96
_space_group_name_H-M_alt 'P 1'
_space_group_IT_number 1
_space_group_name_Hall 'P 1'
loop_
_atom_site_label
_atom_site_type_symbol
_atom_site_fract_x
_atom_site_fract_y
_atom_site_fract_z
_atom_site_occupancy
Li1 Li 0.135 0.898 0.832 1
Pr1 Pr 0.902 0.664 0.532 1
Pr2 Pr 0.701 0.465 0.133 1
Ag1 Ag 0.472 0.235 0.821 1
```

The value obtained for the relative energy among the computed polymorphs is 84 meV per atom.

---

2.
Li5Pr2Ag4: optimized geometry, PBE-GGA.

Geometry as CIF:
```
data_Li5Pr2Ag4
_chemical_formula_sum 'Li5 Pr2 Ag4'
_cell_length_a 5.471
_cell_length_b 5.471
_cell_length_c 9.296
_cell_angle_alpha 98.80
_cell_angle_beta 98.80
_cell_angle_gamma 118.69
_space_group_name_H-M_alt 'P 1'
_space_group_IT_number 1
_space_group_name_Hall 'P 1'
loop_
_atom_site_label
_atom_site_type_symbol
_atom_site_fract_x
_atom_site_fract_y
_atom_site_fract_z
_atom_site_occupancy
Li1 Li 0.500 0.500 0.000 1
Li2 Li 0.500 0.000 0.000 1
Li3 Li 0.000 0.500 0.000 1
Li4 Li 0.750 0.250 0.500 1
Li5 Li 0.250 0.750 0.500 1
Pr1 Pr 0.860 0.860 0.720 1
Pr2 Pr 0.140 0.140 0.280 1
Ag1 Ag 0.470 0.790 0.260 1
Ag2 Ag 0.530 0.210 0.740 1
Ag3 Ag 0.210 0.530 0.740 1
Ag4 Ag 0.790 0.470 0.260 1
```

---

Listing E_tot for the structures above in their given order: -3.56; -2.93 eV per atom.
Listing DFT formation energy for the structures above in their given order: 6.6; -162.4 kJ/mol of formula units.